PBE BeNbCu, relaxed; SG = No. 8; ΔE to the lowest computed polymorph = 109 meV per atom; raw total energy = -5.94 eV/atom; V = 78.2 Å³/cell; E_form = 0.0266 eV per atom
1.0
2.010 -5.090 0.000
2.010 5.090 0.000
-0.101 0.000 3.823
Be Nb Cu
2 2 2
direct
0.187 0.813 0.000 Be
0.813 0.187 0.000 Be
0.497 0.497 0.000 Nb
0.996 0.996 0.500 Nb
0.305 0.682 0.500 Cu
0.682 0.305 0.500 Cu